This record from the Alexandria database describes a crystal of ScAlH2 relaxed with PBEsol. The functional is SCAN.

a = 3.8730 Å, b = 3.8730 Å, c = 3.8730 Å
α = 60.00°, β = 60.00°, γ = 60.00°
Last column: nearest neighbours and their distance in Å.
Fractional positions:
1 H 0.2500 0.2500 0.2500  4 Al 2.37, 4 Sc 2.37
2 H 0.7500 0.7500 0.7500  4 Sc 2.37, 4 Al 2.37
3 Sc 0.5000 0.5000 0.5000  8 H 2.37
4 Al 0.0000 0.0000 0.0000  8 H 2.37

Results
symmetry: Fm-3m
calculated density: 2.99 g cm⁻³
total magnetic moment: 0.0000 μB/atom
final energy: -7.11 eV per atom